(1)
Below is a PBEsol-optimized structure of LiScTe2, with properties calculated at the SCAN level.

Cell: 3.5982 3.5982 7.4065 Å, 90.00 90.00 90.00°
Sites, in units of the cell vectors:
1 Li 0.5000 0.5000 0.0000
2 Sc 0.5000 0.5000 0.5000
3 Te 0.0000 0.0000 0.7333
4 Te 0.0000 0.0000 0.2667

Uncorrected energy ... -23.697 eV/atom
Formation energy (no corrections) ... -915 meV/atom
Total magnetization ... 0.0 Bohr magnetons per cell

---

(2)
Below is a PBEsol-optimized structure of Li2ScTi, with properties calculated at the SCAN level.

Cell: 4.6808 4.6808 4.6808 Å, 60.00 60.00 60.00°
Sites, in units of the cell vectors:
1 Sc 0.0000 0.0000 0.0000
2 Li 0.2500 0.2500 0.2500
3 Li 0.7500 0.7500 0.7500
4 Ti 0.5000 0.5000 0.5000

Uncorrected energy ... -8.383 eV/atom
ΔH_f (0 K) ... 378.5 meV/atom
Total magnetization ... 1.9 Bohr magnetons per cell

---

(3)
Below is a PBEsol-optimized structure of LiScTi2, with properties calculated at the SCAN level.

Cell: 4.6492 4.6492 4.6492 Å, 60.00 60.00 60.00°
Sites, in units of the cell vectors:
1 Sc 0.5000 0.5000 0.5000
2 Li 0.0000 0.0000 0.0000
3 Ti 0.2500 0.2500 0.2500
4 Ti 0.7500 0.7500 0.7500

Uncorrected energy ... -11.670 eV/atom
ΔH_f (0 K) ... 501.2 meV/atom
Total magnetization ... 2.3 Bohr magnetons per cell